First-principles (PBE-GGA) data for a geometry-optimized NbBi3S structure, as listed in Alexandria via LeMat-Bulk.

Values from the calculation:
Formation energy (no corrections) = 0.521 eV/atom
Calculated density = 7.81 g/cm³
Polymorph energy (0 for the lowest one) = 0 meV/atom
Space-group type = Pm-3m (221)
Total energy = -4.647 eV per atom

```
NbBi3S
1.0
5.427 0.000 0.000
0.000 5.427 0.000
0.000 0.000 5.427
Bi S Nb
3 1 1
Direct
0.000 0.500 0.000
0.500 0.000 0.000
0.000 0.000 0.500
0.500 0.500 0.500
0.000 0.000 0.000
```

---

First-principles (PBE-GGA) data for a geometry-optimized NbBiS2 structure, as listed in Alexandria via LeMat-Bulk.

Values from the calculation:
Formation energy (no corrections) = -0.640 eV/atom
Calculated density = 6.94 g/cm³
Space-group type = R3m (160)
Total energy = -6.191 eV per atom

```
NbBiS2
1.0
3.362 0.000 0.000
1.681 2.911 0.000
1.681 0.970 8.951
S Nb Bi
2 1 1
Direct
0.276 0.276 0.173
0.061 0.061 0.818
0.668 0.668 0.997
0.496 0.496 0.512
```

---

First-principles (PBE-GGA) data for a geometry-optimized NbBiS2 structure, as listed in Alexandria via LeMat-Bulk.

Values from the calculation:
Formation energy (no corrections) = -0.715 eV/atom
Calculated density = 6.76 g/cm³
Space-group type = P-1 (2)
Total energy = -6.266 eV per atom

```
NbBiS2
1.0
-1.495 2.961 0.764
-1.432 -2.104 5.340
6.780 4.185 4.440
Bi S Nb
2 4 2
Direct
0.828 0.421 0.802
0.247 0.921 0.802
0.952 0.477 0.476
0.451 0.977 0.476
0.624 0.365 0.128
0.122 0.865 0.128
0.037 0.171 0.302
0.537 0.671 0.302
```

---

First-principles (PBE-GGA) data for a geometry-optimized NbBiS3 structure, as listed in Alexandria via LeMat-Bulk.

Values from the calculation:
Formation energy (no corrections) = -0.590 eV/atom
Calculated density = 5.06 g/cm³
Polymorph energy (0 for the lowest one) = 0 meV/atom
Space-group type = C2/m (12)
Total energy = -5.857 eV per atom

```
NbBiS3
1.0
-0.966 -1.806 -3.528
1.390 -5.614 4.852
-8.877 2.762 1.015
Nb S Bi
2 6 2
Direct
0.827 0.654 0.114
0.173 0.346 0.886
0.196 0.392 0.655
0.014 0.029 0.235
0.804 0.608 0.345
0.986 0.971 0.765
0.357 0.714 0.002
0.643 0.286 0.998
0.586 0.173 0.434
0.414 0.827 0.566
```